## NaTmPdPb (GGA-PBE)

Data for an optimized crystal structure of NaTmPdPb.

The value obtained for the total magnetization is 0.000 μB per formula unit. The total DFT energy (no corrections) comes out at -4.015 eV/atom. Its energy of formation is -342 meV/atom. Its crystal system is cubic.

Cell: 7.169 7.169 7.169 Å, 90.00 90.00 90.00°
Atoms (fractional coordinates):
1 Na 0.000 0.000 0.000
2 Na 0.000 0.500 0.500
3 Na 0.500 0.000 0.500
4 Na 0.500 0.500 0.000
5 Tm 0.000 0.000 0.500
6 Tm 0.000 0.500 0.000
7 Tm 0.500 0.000 0.000
8 Tm 0.500 0.500 0.500
9 Pd 0.250 0.250 0.250
10 Pd 0.250 0.750 0.750
11 Pd 0.750 0.250 0.750
12 Pd 0.750 0.750 0.250
13 Pb 0.250 0.250 0.750
14 Pb 0.250 0.750 0.250
15 Pb 0.750 0.250 0.250
16 Pb 0.750 0.750 0.750